GaRuWF2: relaxed, GGA+U.

The structure in CIF format:
```
data_GaRuWF2
_chemical_formula_sum 'Ga1 Ru1 W1 F2'
_symmetry_space_group_name_H-M 'P 4/m m m'
_symmetry_Int_Tables_number 123
_symmetry_space_group_name_Hall '-P 4 2'
_cell_length_a 4.029
_cell_length_b 4.029
_cell_length_c 5.349
_cell_angle_alpha 90.00
_cell_angle_beta 90.00
_cell_angle_gamma 90.00
loop_
_atom_site_label
_atom_site_type_symbol
_atom_site_fract_x
_atom_site_fract_y
_atom_site_fract_z
Ga1 Ga 0.000 0.000 0.000
Ru1 Ru 0.500 0.500 0.000
W1 W 0.500 0.500 0.500
F1 F 0.000 0.500 0.500
```

Output
Volume   86.8 Å³ per cell
Total energy   -25.8 eV/cell
Mass density   7.509 g/cm³